[1]
First-principles (PBE) data for a geometry-optimized Ba2SiI structure, as listed in Alexandria via LeMat-Bulk.

POSCAR file:
```
Ba2SiI
1.0
4.050 0.000 0.000
0.000 4.050 0.000
0.000 0.000 9.065
Ba Si I
2 1 1
Direct
0.000 0.000 0.213
0.000 0.000 0.787
0.500 0.500 0.000
0.500 0.500 0.500
```

Values from the calculation:
Polymorph energy (0 for the lowest one) in eV per formula unit: 0.10
DOS at the Fermi energy in states/eV/cell: 1.98
SG: No. 123
Calculated total energy in hartree per atom: -0.129
Raw formation energy in kJ per mole of atoms: -76.5

=====

[2]
First-principles (PBE) data for a geometry-optimized ThZnInPd structure, as listed in Alexandria via LeMat-Bulk.

POSCAR file:
```
ThZnInPd
1.0
0.000 3.501 3.501
3.501 0.000 3.501
3.501 3.501 0.000
Th Zn In Pd
1 1 1 1
Direct
0.000 0.000 0.000
0.250 0.250 0.250
0.500 0.500 0.500
0.750 0.750 0.750
```

Values from the calculation:
DOS at the Fermi energy in states/eV/cell: 1.91
SG: No. 216
Calculated total energy in hartree per atom: -0.172
Formation energy from the elements in meV per atom: -524.0

=====

[3]
First-principles (PBE) data for a geometry-optimized SrNiMo2 structure, as listed in Alexandria via LeMat-Bulk.

POSCAR file:
```
SrNiMo2
1.0
2.772 0.000 0.000
0.000 2.772 0.000
0.000 0.000 9.261
Sr Ni Mo
1 1 2
Direct
0.000 0.000 0.000
0.000 0.000 0.500
0.500 0.500 0.306
0.500 0.500 0.694
```

Values from the calculation:
Polymorph energy (0 for the lowest one) in eV per formula unit: 1.19
DOS at the Fermi energy in states/eV/cell: 6.41
SG: No. 123
Calculated total energy in hartree per atom: -0.240
Formation energy from the elements in meV per atom: 749.7

=====

[4]
First-principles (PBE) data for a geometry-optimized Na3CuRh structure, as listed in Alexandria via LeMat-Bulk.

POSCAR file:
```
Na3CuRh
1.0
5.356 0.000 0.000
0.000 5.356 0.000
0.000 0.000 5.356
Na Cu Rh
3 1 1
Direct
0.000 0.000 0.500
0.000 0.500 0.000
0.500 0.000 0.000
0.500 0.500 0.500
0.000 0.000 0.000
```

Values from the calculation:
Polymorph energy (0 for the lowest one) in eV per formula unit: 0.00
DOS at the Fermi energy in states/eV/cell: 5.23
SG: No. 221
Calculated total energy in hartree per atom: -0.083
Formation energy from the elements in meV per atom: 834.2

=====

The lowest DOS at the Fermi energy belongs to which entry? ThZnInPd